1.
Here is crystalline KNa2Sn6 at its relaxed geometry from the Alexandria database. Energies are from PBE.

```
KNa2Sn6
1.0
4.905 -0.022 -0.021
2.401 8.093 2.448
2.401 2.800 7.978
K Na Sn
1 2 6
Cartesian
4.905 -0.022 -0.021
2.400 4.201 4.020
7.307 6.671 6.385
4.825 9.155 5.582
4.881 1.716 4.824
4.881 4.894 1.503
4.853 4.452 6.230
4.853 6.419 4.175
4.825 5.977 8.902
```

Results
energy	-28.9	eV for the cell shown
energy of formation from the pure elements	-1.19	eV per formula unit

2.
Here is crystalline K2Na3Sn2 at its relaxed geometry from the Alexandria database. Energies are from PBE.

```
K2Na3Sn2
1.0
-4.691 1.654 -2.445
-0.955 -2.866 -6.389
-5.341 -6.193 -0.226
K Na Sn
2 3 2
Cartesian
-2.364 -2.377 -3.354
-8.622 -5.028 -5.706
-2.345 0.827 -1.223
-4.863 -4.580 -6.334
-6.124 -2.825 -2.726
-5.748 -7.645 -6.708
-5.239 0.240 -2.352
```

Results
energy	-15.1	eV for the cell shown
energy of formation from the pure elements	-0.98	eV per formula unit

3.
Here is crystalline KNaSn at its relaxed geometry from the Alexandria database. Energies are from PBE.

```
KNaSn
1.0
5.506 0.000 0.000
-2.753 4.770 -0.004
0.000 0.016 8.589
K Na Sn
2 2 2
Cartesian
2.753 1.593 1.106
0.000 3.193 7.479
0.000 3.186 3.654
2.753 1.600 4.931
0.000 0.011 5.715
2.753 4.774 2.870
```

Results
energy	-13.8	eV for the cell shown
energy of formation from the pure elements	-0.50	eV per formula unit
ΔE to the lowest computed polymorph	0	meV/atom

4.
Here is crystalline KNa4Sn2 at its relaxed geometry from the Alexandria database. Energies are from PBE.

```
KNa4Sn2
1.0
5.714 0.000 0.000
0.000 5.685 0.000
0.000 -2.843 7.711
K Na Sn
1 4 2
Cartesian
0.000 0.000 0.000
2.857 2.843 4.865
0.000 2.843 2.657
2.857 0.000 2.846
0.000 0.000 5.053
2.857 2.843 1.413
2.857 0.000 6.298
```

Results
energy	-15.2	eV for the cell shown
energy of formation from the pure elements	-0.81	eV per formula unit

5.
Here is crystalline KNa5Sn at its relaxed geometry from the Alexandria database. Energies are from PBE.

```
KNa5Sn
1.0
9.675 0.000 0.000
0.000 7.133 0.000
-4.837 -3.567 3.766
K Na Sn
1 5 1
Cartesian
7.166 3.567 0.000
-1.584 0.000 1.519
0.921 3.567 0.000
3.253 3.567 2.247
4.298 1.482 0.000
4.298 5.652 0.000
1.295 0.000 0.000
```

Results
energy	-11.3	eV for the cell shown
energy of formation from the pure elements	0.42	eV per formula unit

6.
Here is crystalline KNa2Sn at its relaxed geometry from the Alexandria database. Energies are from PBE.

```
KNa2Sn
1.0
-0.817 4.024 -3.607
1.875 -0.489 -5.111
-4.950 -1.419 -4.602
K Na Sn
1 2 1
Cartesian
-2.102 0.981 -6.710
-4.586 -1.241 -4.486
-0.278 0.870 -3.108
-3.823 1.144 -10.280
```

Results
energy	-8.0	eV for the cell shown
energy of formation from the pure elements	-0.27	eV per formula unit

7.
Here is crystalline K2Na4Sn at its relaxed geometry from the Alexandria database. Energies are from PBE.

```
K2Na4Sn
1.0
5.965 0.000 0.000
0.000 5.965 0.000
2.982 2.982 9.548
Na K Sn
4 2 1
Cartesian
2.982 2.982 6.478
5.965 5.965 3.071
0.000 2.982 0.000
2.982 0.000 0.000
2.982 2.982 2.563
5.965 5.965 6.986
0.000 0.000 0.000
```

Results
energy	-11.5	eV for the cell shown
energy of formation from the pure elements	-0.01	eV per formula unit
ΔE to the lowest computed polymorph	50	meV/atom

8.
Here is crystalline K2Na2Sn15 at its relaxed geometry from the Alexandria database. Energies are from PBE.

```
K2Na2Sn15
1.0
8.454 0.240 0.214
1.335 8.352 0.214
1.335 1.172 8.272
K Na Sn
2 2 15
Cartesian
3.823 3.356 2.990
7.301 6.408 5.710
1.136 0.997 0.889
9.988 8.766 7.811
4.227 0.120 0.107
0.668 0.586 4.136
0.668 4.176 0.107
1.335 6.263 2.558
6.383 2.600 0.214
3.406 0.901 5.928
3.406 5.992 0.214
6.383 0.511 2.558
1.335 3.260 5.928
2.929 6.115 5.449
6.444 5.655 1.471
6.444 2.111 5.449
8.196 3.649 3.251
4.681 4.108 7.229
4.681 7.653 3.251
```

Results
energy	-66.3	eV for the cell shown
energy of formation from the pure elements	-1.46	eV per formula unit